# PBE-GGA CsPuBeS3, optimized geometry
data_CsPuBeS3
_chemical_formula_sum 'Cs2 Pu2 Be2 S6'
_space_group_name_H-M_alt 'P 1'
_space_group_IT_number 1
_space_group_name_Hall 'P 1'
_cell_length_a 3.952
_cell_length_b 9.582
_cell_length_c 9.537
_cell_angle_alpha 111.31
_cell_angle_beta 90.00
_cell_angle_gamma 90.00
loop_
_atom_site_label
_atom_site_fract_x
_atom_site_fract_y
_atom_site_fract_z
Cs1 0.750 0.791 0.759
Cs2 0.250 0.209 0.241
Be1 0.250 0.075 0.605
Be2 0.750 0.925 0.395
S1 0.250 0.527 0.846
S2 0.750 0.473 0.154
S3 0.750 0.154 0.534
S4 0.250 0.846 0.466
S5 0.250 0.124 0.835
S6 0.750 0.876 0.165
Pu1 0.750 0.331 0.848
Pu2 0.250 0.669 0.152
# Crystal system: monoclinic
# Space group: No. 11
# V: 168.2 Å³/f.u.
# Formation energy from raw total energies: -1.353 eV/atom



# PBE-GGA Cs2PuBeS4, optimized geometry
data_Cs2PuBeS4
_chemical_formula_sum 'Cs4 Pu2 Be2 S8'
_space_group_name_H-M_alt 'P 1'
_space_group_IT_number 1
_space_group_name_Hall 'P 1'
_cell_length_a 6.066
_cell_length_b 7.789
_cell_length_c 13.324
_cell_angle_alpha 84.91
_cell_angle_beta 76.84
_cell_angle_gamma 67.08
loop_
_atom_site_label
_atom_site_fract_x
_atom_site_fract_y
_atom_site_fract_z
Pu1 0.750 0.500 0.500
Pu2 0.000 0.000 0.000
S1 0.412 0.679 0.405
S2 0.254 0.179 0.905
S3 0.910 0.679 0.595
S4 0.183 0.321 0.405
S5 0.496 0.321 0.595
S6 0.338 0.821 0.095
S7 0.567 0.179 0.095
S8 0.840 0.821 0.905
Be1 0.500 0.000 0.000
Be2 0.250 0.500 0.500
Cs1 0.927 0.500 0.145
Cs2 0.573 0.500 0.855
Cs3 0.823 0.000 0.355
Cs4 0.177 0.000 0.645
# Crystal system: orthorhombic
# Space group: No. 70
# V: 282.3 Å³/f.u.
# Formation energy from raw total energies: -1.108 eV/atom



# PBE-GGA Cs2RbBe, optimized geometry
data_Cs2RbBe
_chemical_formula_sum 'Cs2 Rb1 Be1'
_space_group_name_H-M_alt 'P 1'
_space_group_IT_number 1
_space_group_name_Hall 'P 1'
_cell_length_a 7.134
_cell_length_b 7.134
_cell_length_c 7.134
_cell_angle_alpha 60.00
_cell_angle_beta 60.00
_cell_angle_gamma 60.00
loop_
_atom_site_label
_atom_site_fract_x
_atom_site_fract_y
_atom_site_fract_z
Rb1 0.500 0.500 0.500
Be1 0.000 0.000 0.000
Cs1 0.250 0.250 0.250
Cs2 0.750 0.750 0.750
# Crystal system: cubic
# Space group: No. 225
# E above lowest polymorph: 0.245 eV/f.u.
# Formation enthalpy at 0 K: 69 kJ per mole of atoms
# V: 256.7 Å³/f.u.



# PBE-GGA Cs3RbBe, optimized geometry
data_Cs3RbBe
_chemical_formula_sum 'Cs3 Rb1 Be1'
_space_group_name_H-M_alt 'P 1'
_space_group_IT_number 1
_space_group_name_Hall 'P 1'
_cell_length_a 8.821
_cell_length_b 8.821
_cell_length_c 8.821
_cell_angle_alpha 90.00
_cell_angle_beta 90.00
_cell_angle_gamma 90.00
loop_
_atom_site_label
_atom_site_fract_x
_atom_site_fract_y
_atom_site_fract_z
Cs1 0.000 0.000 0.500
Cs2 0.000 0.500 0.000
Cs3 0.500 0.000 0.000
Be1 0.500 0.500 0.500
Rb1 0.000 0.000 0.000
# Crystal system: cubic
# Space group: No. 221
# E above lowest polymorph: 1.926 eV/f.u.
# Formation enthalpy at 0 K: 84 kJ per mole of atoms
# V: 686.3 Å³/f.u.



# PBE-GGA Cs2RbBe, optimized geometry
data_Cs2RbBe
_chemical_formula_sum 'Cs4 Rb2 Be2'
_space_group_name_H-M_alt 'P 1'
_space_group_IT_number 1
_space_group_name_Hall 'P 1'
_cell_length_a 12.936
_cell_length_b 12.936
_cell_length_c 9.859
_cell_angle_alpha 49.00
_cell_angle_beta 49.00
_cell_angle_gamma 90.00
loop_
_atom_site_label
_atom_site_fract_x
_atom_site_fract_y
_atom_site_fract_z
Cs1 0.252 0.625 0.250
Cs2 0.875 0.748 0.750
Cs3 0.375 0.502 0.750
Cs4 0.498 0.125 0.250
Be1 0.250 0.750 0.500
Be2 0.500 0.500 0.000
Rb1 0.750 0.250 0.500
Rb2 0.000 0.000 0.000
# Crystal system: tetragonal
# Space group: No. 122
# E above lowest polymorph: 0.000 eV/f.u.
# Formation enthalpy at 0 K: 63 kJ per mole of atoms
# V: 307.8 Å³/f.u.



# PBE-GGA Cs3RbBe, optimized geometry
data_Cs3RbBe
_chemical_formula_sum 'Cs3 Rb1 Be1'
_space_group_name_H-M_alt 'P 1'
_space_group_IT_number 1
_space_group_name_Hall 'P 1'
_cell_length_a 7.470
_cell_length_b 7.470
_cell_length_c 7.470
_cell_angle_alpha 90.00
_cell_angle_beta 90.00
_cell_angle_gamma 90.00
loop_
_atom_site_label
_atom_site_fract_x
_atom_site_fract_y
_atom_site_fract_z
Be1 0.000 0.000 0.000
Cs1 0.000 0.000 0.500
Cs2 0.000 0.500 0.000
Cs3 0.500 0.000 0.000
Rb1 0.500 0.500 0.500
# Crystal system: cubic
# Space group: No. 221
# E above lowest polymorph: 0.000 eV/f.u.
# Formation enthalpy at 0 K: 47 kJ per mole of atoms
# V: 416.8 Å³/f.u.



# PBE-GGA CsRbBe2, optimized geometry
data_CsRbBe2
_chemical_formula_sum 'Cs1 Rb1 Be2'
_space_group_name_H-M_alt 'P 1'
_space_group_IT_number 1
_space_group_name_Hall 'P 1'
_cell_length_a 6.096
_cell_length_b 6.096
_cell_length_c 6.096
_cell_angle_alpha 60.00
_cell_angle_beta 60.00
_cell_angle_gamma 60.00
loop_
_atom_site_label
_atom_site_fract_x
_atom_site_fract_y
_atom_site_fract_z
Be1 0.750 0.750 0.750
Be2 0.250 0.250 0.250
Cs1 0.500 0.500 0.500
Rb1 0.000 0.000 0.000
# Crystal system: cubic
# Space group: No. 225
# Formation enthalpy at 0 K: 122 kJ per mole of atoms
# V: 160.2 Å³/f.u.



# PBE-GGA CsRb2Be, optimized geometry
data_CsRb2Be
_chemical_formula_sum 'Cs2 Rb4 Be2'
_space_group_name_H-M_alt 'P 1'
_space_group_IT_number 1
_space_group_name_Hall 'P 1'
_cell_length_a 6.024
_cell_length_b 6.024
_cell_length_c 15.049
_cell_angle_alpha 78.45
_cell_angle_beta 78.45
_cell_angle_gamma 90.00
loop_
_atom_site_label
_atom_site_fract_x
_atom_site_fract_y
_atom_site_fract_z
Rb1 0.375 0.411 0.750
Rb2 0.589 0.125 0.250
Rb3 0.161 0.625 0.250
Rb4 0.875 0.839 0.750
Cs1 0.750 0.250 0.500
Cs2 0.000 0.000 0.000
Be1 0.250 0.750 0.500
Be2 0.500 0.500 0.000
# Crystal system: tetragonal
# Space group: No. 122
# Formation enthalpy at 0 K: 72 kJ per mole of atoms
# V: 261.9 Å³/f.u.



# PBE-GGA CsRbBeS2, optimized geometry
data_CsRbBeS2
_chemical_formula_sum 'Cs2 Rb2 Be2 S4'
_space_group_name_H-M_alt 'P 1'
_space_group_IT_number 1
_space_group_name_Hall 'P 1'
_cell_length_a 5.312
_cell_length_b 7.790
_cell_length_c 9.436
_cell_angle_alpha 104.58
_cell_angle_beta 90.00
_cell_angle_gamma 90.00
loop_
_atom_site_label
_atom_site_fract_x
_atom_site_fract_y
_atom_site_fract_z
Rb1 0.436 0.000 0.250
Rb2 0.564 0.000 0.750
S1 0.830 0.213 0.510
S2 0.170 0.213 0.010
S3 0.830 0.787 0.990
S4 0.170 0.787 0.490
Cs1 0.763 0.500 0.250
Cs2 0.237 0.500 0.750
Be1 0.000 0.000 0.500
Be2 0.000 0.000 0.000
# Crystal system: monoclinic
# Space group: No. 13
# V: 189.0 Å³/f.u.
# Formation energy from raw total energies: -1.028 eV/atom



# PBE-GGA Cs2RbBeSb2, optimized geometry
data_Cs2RbBeSb2
_chemical_formula_sum 'Cs4 Rb2 Be2 Sb4'
_space_group_name_H-M_alt 'P 1'
_space_group_IT_number 1
_space_group_name_Hall 'P 1'
_cell_length_a 8.614
_cell_length_b 7.748
_cell_length_c 9.746
_cell_angle_alpha 113.42
_cell_angle_beta 116.22
_cell_angle_gamma 90.00
loop_
_atom_site_label
_atom_site_fract_x
_atom_site_fract_y
_atom_site_fract_z
Be1 0.500 0.250 0.000
Be2 0.500 0.750 0.000
Cs1 0.107 0.322 0.645
Cs2 0.893 0.678 0.355
Cs3 0.538 0.822 0.645
Cs4 0.462 0.178 0.355
Rb1 0.000 0.750 0.000
Rb2 0.000 0.250 0.000
Sb1 0.413 0.566 0.132
Sb2 0.587 0.434 0.868
Sb3 0.719 0.066 0.132
Sb4 0.281 0.934 0.868
# Crystal system: orthorhombic
# Space group: No. 72
# V: 261.5 Å³/f.u.
# Formation energy from raw total energies: -0.203 eV/atom



# PBE-GGA CsRbBeTe2, optimized geometry
data_CsRbBeTe2
_chemical_formula_sum 'Cs2 Rb2 Be2 Te4'
_space_group_name_H-M_alt 'P 1'
_space_group_IT_number 1
_space_group_name_Hall 'P 1'
_cell_length_a 5.529
_cell_length_b 8.681
_cell_length_c 10.472
_cell_angle_alpha 106.76
_cell_angle_beta 90.00
_cell_angle_gamma 90.00
loop_
_atom_site_label
_atom_site_fract_x
_atom_site_fract_y
_atom_site_fract_z
Cs1 0.292 0.500 0.750
Cs2 0.708 0.500 0.250
Te1 0.828 0.233 0.507
Te2 0.828 0.767 0.993
Te3 0.172 0.233 0.007
Te4 0.172 0.767 0.493
Rb1 0.401 0.000 0.250
Rb2 0.599 0.000 0.750
Be1 0.000 0.000 0.500
Be2 0.000 0.000 0.000
# Crystal system: monoclinic
# Space group: No. 13
# V: 240.6 Å³/f.u.
# Formation energy from raw total energies: -0.715 eV/atom



# PBE-GGA CsBeRe2, optimized geometry
data_CsBeRe2
_chemical_formula_sum 'Cs1 Be1 Re2'
_space_group_name_H-M_alt 'P 1'
_space_group_IT_number 1
_space_group_name_Hall 'P 1'
_cell_length_a 4.532
_cell_length_b 4.532
_cell_length_c 4.532
_cell_angle_alpha 60.00
_cell_angle_beta 60.00
_cell_angle_gamma 60.00
loop_
_atom_site_label
_atom_site_fract_x
_atom_site_fract_y
_atom_site_fract_z
Be1 0.000 0.000 0.000
Re1 0.750 0.750 0.750
Re2 0.250 0.250 0.250
Cs1 0.500 0.500 0.500
# Crystal system: cubic
# Space group: No. 225
# E above lowest polymorph: 1.705 eV/f.u.
# Formation enthalpy at 0 K: 219 kJ per mole of atoms
# V: 65.8 Å³/f.u.